1.
Here is MgTeN2O after structural relaxation from the Alexandria database. Energies are from PBE.

Computed properties:
DFT total energy in eV/atom: -3.71
Volume in A^3/atom: 14.1
Formation energy from raw total energies in meV per atom: 1556

Lattice parameters (Å, degrees): 4.090 4.090 4.213 90.00 90.00 90.00
Fractional positions:
O  0.000  0.000  0.000
Mg  0.500  0.500  0.500
Te  0.000  0.000  0.500
N  0.000  0.500  0.000
N  0.500  0.000  0.000

---

2.
Here is MgTeN2O after structural relaxation from the Alexandria database. Energies are from PBE.

Computed properties:
DFT total energy in eV/atom: -4.89
Volume in A^3/atom: 12.5
Formation energy from raw total energies in meV per atom: 374

Lattice parameters (Å, degrees): 3.977 3.977 3.964 90.00 90.00 90.00
Fractional positions:
Mg  0.500  0.500  0.500
Te  0.000  0.000  0.000
N  0.500  0.000  0.000
O  0.000  0.000  0.500
N  0.000  0.500  0.000

---

3.
Here is MgTeN2O after structural relaxation from the Alexandria database. Energies are from PBE.

Computed properties:
DFT total energy in eV/atom: -3.76
Volume in A^3/atom: 18.5
Formation energy from raw total energies in meV per atom: 1514

Lattice parameters (Å, degrees): 3.780 3.780 6.469 90.00 90.00 90.00
Fractional positions:
Mg  0.000  0.000  0.000
N  0.000  0.500  0.000
Te  0.000  0.000  0.500
N  0.500  0.000  0.000
O  0.500  0.500  0.500

---

4.
Here is MgTeNO2 after structural relaxation from the Alexandria database. Energies are from PBE.

Computed properties:
DFT total energy in eV/atom: -4.55
Volume in A^3/atom: 12.0
Formation energy from raw total energies in meV per atom: 43

Lattice parameters (Å, degrees): 3.822 3.822 4.121 90.00 90.00 90.00
Fractional positions:
Mg  0.000  0.000  0.000
O  0.500  0.000  0.000
O  0.000  0.500  0.000
Te  0.500  0.500  0.500
N  0.000  0.000  0.500

---

5.
Here is MgTiN2O after structural relaxation from the Alexandria database. Energies are from PBE.

Computed properties:
DFT total energy in eV/atom: -6.86
Volume in A^3/atom: 12.0
Formation energy from raw total energies in meV per atom: -642

Lattice parameters (Å, degrees): 3.929 3.929 3.876 90.00 90.00 90.00
Fractional positions:
N  0.000  0.500  0.000
Ti  0.000  0.000  0.000
N  0.500  0.000  0.000
O  0.000  0.000  0.500
Mg  0.500  0.500  0.500

---

6.
Here is MgTiNO2 after structural relaxation from the Alexandria database. Energies are from PBE.

Computed properties:
DFT total energy in eV/atom: -7.07
Volume in A^3/atom: 11.6
Formation energy from raw total energies in meV per atom: -1527

Lattice parameters (Å, degrees): 3.843 3.843 3.937 90.00 90.00 90.00
Fractional positions:
Ti  0.000  0.000  0.000
O  0.000  0.500  0.000
Mg  0.500  0.500  0.500
O  0.500  0.000  0.000
N  0.000  0.000  0.500

---

7.
Here is MgTiN2O after structural relaxation from the Alexandria database. Energies are from PBE.

Computed properties:
DFT total energy in eV/atom: -5.89
Volume in A^3/atom: 11.0
Formation energy from raw total energies in meV per atom: 329

Lattice parameters (Å, degrees): 3.878 3.878 3.663 90.00 90.00 90.00
Fractional positions:
Mg  0.000  0.000  0.000
N  0.000  0.500  0.000
Ti  0.500  0.500  0.500
O  0.000  0.000  0.500
N  0.500  0.000  0.000

---

8.
Here is MgTiNO2 after structural relaxation from the Alexandria database. Energies are from PBE.

Computed properties:
DFT total energy in eV/atom: -6.09
Volume in A^3/atom: 10.7
Formation energy from raw total energies in meV per atom: -545

Lattice parameters (Å, degrees): 3.698 3.698 3.931 90.00 90.00 90.00
Fractional positions:
Ti  0.500  0.500  0.500
N  0.000  0.000  0.500
O  0.500  0.000  0.000
O  0.000  0.500  0.000
Mg  0.000  0.000  0.000

---

9.
Here is MgTlNO2 after structural relaxation from the Alexandria database. Energies are from PBE.

Computed properties:
DFT total energy in eV/atom: -4.42
Volume in A^3/atom: 13.7
Formation energy from raw total energies in meV per atom: 20

Lattice parameters (Å, degrees): 4.005 4.005 4.258 90.00 90.00 90.00
Fractional positions:
O  0.500  0.000  0.000
O  0.000  0.500  0.000
Tl  0.500  0.500  0.500
Mg  0.000  0.000  0.000
N  0.000  0.000  0.500

---

10.
Here is MgTlNO2 after structural relaxation from the Alexandria database. Energies are from PBE.

Computed properties:
DFT total energy in eV/atom: -3.99
Volume in A^3/atom: 15.4
Formation energy from raw total energies in meV per atom: 454

Lattice parameters (Å, degrees): 4.283 4.283 4.203 90.00 90.00 90.00
Fractional positions:
Tl  0.000  0.000  0.000
O  0.500  0.000  0.000
N  0.000  0.000  0.500
O  0.000  0.500  0.000
Mg  0.500  0.500  0.500

---

Which of these has the highest volume?
number 3